# KZnCr2O

KZnCr2O after structural relaxation (GGA+U, Alexandria via LeMat-Bulk).

Output
spin magnetization	0.5	μB/cell
electronic total energy	-3.68	eV per atom
density of states at the Fermi level	0.351	states/eV/atom
space-group type	P4/mmm

a = 4.1931 Å, b = 4.1931 Å, c = 6.1994 Å
α = 90.00°, β = 90.00°, γ = 90.00°
Last column: nearest neighbours and their distance in Å.
Positions (direct):
K (0.0000, 0.0000, 0.0000)  4 Zn 2.96
Zn (0.5000, 0.5000, 0.0000)  4 K 2.96, 2 O 3.10
Cr (0.0000, 0.5000, 0.5000)  2 O 2.10
Cr (0.5000, 0.0000, 0.5000)  2 O 2.10
O (0.5000, 0.5000, 0.5000)  4 Cr 2.10